[1]
Entry from Alexandria via LeMat-Bulk: crystalline AcCeIn at its relaxed geometry (GGA-PBE).

Properties
D(E_F)   2.21 states/eV/atom
E_form   -20.4 kJ per mole of atoms
Mass density   8.21 g cm⁻³

Cell and atoms, written as POSCAR:
```
AcCeIn
1.0
5.9955 0.6988 0.9252
3.5929 4.8550 0.9000
1.1342 0.7013 7.5515
Ac Ce In
2 2 2
Direct
0.6659 0.1659 0.4018
0.3341 0.8341 0.5982
0.6295 0.1295 0.9383
0.3705 0.8705 0.0617
0.9960 0.4960 0.7607
0.0040 0.5040 0.2393
```

[2]
Entry from Alexandria via LeMat-Bulk: crystalline Ac2Ce2In3 at its relaxed geometry (GGA-PBE).

Properties
D(E_F)   1.80 states/eV/atom
E_form   -28.5 kJ per mole of atoms
Mass density   8.23 g cm⁻³

Cell and atoms, written as POSCAR:
```
Ac2Ce2In3
1.0
4.5921 0.0000 0.6094
0.0000 3.6317 0.0000
0.5946 0.0000 13.1254
Ac Ce In
2 2 3
Direct
0.5778 0.5000 0.8443
0.4222 0.5000 0.1557
0.7182 0.5000 0.5636
0.2818 0.5000 0.4364
0.8407 0.0000 0.3185
0.0000 0.0000 0.0000
0.1593 0.0000 0.6815
```

[3]
Entry from Alexandria via LeMat-Bulk: crystalline AcCeIn6 at its relaxed geometry (GGA-PBE).

Properties
D(E_F)   1.01 states/eV/atom
E_form   -38.4 kJ per mole of atoms
Mass density   7.84 g cm⁻³

Cell and atoms, written as POSCAR:
```
AcCeIn6
1.0
-2.3700 -0.8055 4.1179
-1.1324 -4.4311 -1.5186
8.0716 -3.4253 3.9755
Ac Ce In
1 1 6
Direct
0.0000 0.0000 0.0000
0.0000 0.0000 0.5000
0.5000 0.5000 0.0000
0.5000 0.5000 0.5000
0.5000 0.0000 0.2605
0.5000 0.0000 0.7395
0.0000 0.5000 0.2605
0.0000 0.5000 0.7395
```

[4]
Entry from Alexandria via LeMat-Bulk: crystalline Li2AcCe2In2 at its relaxed geometry (GGA-PBE).

Properties
D(E_F)   1.43 states/eV/atom
E_form   -21.7 kJ per mole of atoms
Mass density   6.65 g cm⁻³

Cell and atoms, written as POSCAR:
```
Li2AcCe2In2
1.0
4.7142 0.0000 0.0000
2.3571 4.0826 0.0000
2.3571 1.3609 9.7363
Li Ac Ce In
2 1 2 2
Direct
0.5777 0.5777 0.2670
0.4223 0.4223 0.7330
0.0000 0.0000 0.0000
0.1458 0.1458 0.5628
0.8542 0.8542 0.4372
0.7431 0.7431 0.7706
0.2569 0.2569 0.2294
```

[5]
Entry from Alexandria via LeMat-Bulk: crystalline AcCeLuIn at its relaxed geometry (GGA-PBE).

Properties
D(E_F)   2.40 states/eV/atom
E_form   1.6 kJ per mole of atoms
Mass density   8.88 g cm⁻³

Cell and atoms, written as POSCAR:
```
AcCeLuIn
1.0
5.5801 0.0000 0.0000
2.7900 4.8325 0.0000
2.7900 1.6108 4.5561
Ac Lu Ce In
1 1 1 1
Direct
0.7500 0.7500 0.7500
0.0000 0.0000 0.0000
0.5000 0.5000 0.5000
0.2500 0.2500 0.2500
```

[6]
Entry from Alexandria via LeMat-Bulk: crystalline AcCe2Mg2In2 at its relaxed geometry (GGA-PBE).

Properties
D(E_F)   1.76 states/eV/atom
E_form   -19.0 kJ per mole of atoms
Mass density   6.51 g cm⁻³

Cell and atoms, written as POSCAR:
```
AcCe2Mg2In2
1.0
-2.2532 -2.0092 -3.8288
2.5804 -1.3732 -3.9025
1.3305 -9.9565 1.3373
Ac Ce Mg In
1 2 2 2
Direct
0.0000 0.0000 0.0000
0.1469 0.1469 0.5594
0.8531 0.8531 0.4406
0.5802 0.5802 0.2593
0.4198 0.4198 0.7407
0.7397 0.7397 0.7808
0.2603 0.2603 0.2192
```

[7]
Entry from Alexandria via LeMat-Bulk: crystalline NaAcCeIn at its relaxed geometry (GGA-PBE).

Properties
D(E_F)   1.83 states/eV/atom
E_form   14.0 kJ per mole of atoms
Mass density   6.60 g cm⁻³

Cell and atoms, written as POSCAR:
```
NaAcCeIn
1.0
-3.3824 4.4686 -0.6529
-5.2316 -0.6897 -1.9975
-4.4381 0.7015 3.4128
Na Ac Ce In
1 1 1 1
Direct
0.0000 0.0000 0.0000
0.7500 0.7500 0.7500
0.5000 0.5000 0.5000
0.2500 0.2500 0.2500
```

[8]
Entry from Alexandria via LeMat-Bulk: crystalline Ac2CeIn12Ni3 at its relaxed geometry (GGA-PBE).

Properties
D(E_F)   1.02 states/eV/atom
E_form   -3.9 kJ per mole of atoms
Mass density   6.94 g cm⁻³

Cell and atoms, written as POSCAR:
```
Ac2CeIn12Ni3
1.0
8.7036 -0.3159 -0.2240
4.0236 7.7242 -0.2240
4.0236 2.3421 7.3640
Ac Ce In Ni
2 1 12 3
Direct
0.5850 0.5850 0.5850
0.4150 0.4150 0.4150
0.0000 0.0000 0.0000
0.2775 0.2775 0.8855
0.8401 0.8401 0.4591
0.4591 0.8401 0.8401
0.8855 0.2775 0.2775
0.8401 0.4591 0.8401
0.2775 0.8855 0.2775
0.7225 0.7225 0.1145
0.1599 0.1599 0.5409
0.5409 0.1599 0.1599
0.1145 0.7225 0.7225
0.1599 0.5409 0.1599
0.7225 0.1145 0.7225
0.5000 0.0000 0.0000
0.0000 0.5000 0.0000
0.0000 0.0000 0.5000
```

[9]
Entry from Alexandria via LeMat-Bulk: crystalline AcCeInPb at its relaxed geometry (GGA-PBE).

Properties
D(E_F)   2.23 states/eV/atom
E_form   -33.8 kJ per mole of atoms
Mass density   8.76 g cm⁻³

Cell and atoms, written as POSCAR:
```
AcCeInPb
1.0
-1.5752 4.7464 2.7250
-5.3540 1.8916 -0.4382
-3.5074 -0.3169 4.4758
Pb Ac Ce In
1 1 1 1
Direct
0.7500 0.7500 0.7500
0.5000 0.5000 0.5000
0.0000 0.0000 0.0000
0.2500 0.2500 0.2500
```

[10]
Entry from Alexandria via LeMat-Bulk: crystalline AcCeInPd at its relaxed geometry (GGA-PBE).

Properties
D(E_F)   2.36 states/eV/atom
E_form   -37.4 kJ per mole of atoms
Mass density   8.47 g cm⁻³

Cell and atoms, written as POSCAR:
```
AcCeInPd
1.0
5.4639 0.0000 0.0000
2.7319 4.7319 0.0000
2.7319 1.5773 4.4612
Ac Pd Ce In
1 1 1 1
Direct
0.7500 0.7500 0.7500
0.0000 0.0000 0.0000
0.2500 0.2500 0.2500
0.5000 0.5000 0.5000
```

[11]
Entry from Alexandria via LeMat-Bulk: crystalline Ac2CeInPd6 at its relaxed geometry (GGA-PBE).

Properties
D(E_F)   0.94 states/eV/atom
E_form   -23.6 kJ per mole of atoms
Mass density   8.49 g cm⁻³

Cell and atoms, written as POSCAR:
```
Ac2CeInPd6
1.0
-0.0752 -6.0481 -3.8975
3.9139 -3.3050 5.0530
-2.3497 -6.1383 2.9285
Ac Ce In Pd
2 1 1 6
Direct
0.2500 0.7500 0.5000
0.7500 0.2500 0.5000
0.5000 0.5000 0.0000
0.0000 0.0000 0.0000
0.2515 0.7485 0.0000
0.7485 0.7485 0.0000
0.2515 0.2515 0.4971
0.7485 0.2515 0.0000
0.2515 0.2515 0.0000
0.7485 0.7485 0.5029
```

[12]
Entry from Alexandria via LeMat-Bulk: crystalline AcCePmIn at its relaxed geometry (GGA-PBE).

Properties
D(E_F)   2.64 states/eV/atom
E_form   -2.8 kJ per mole of atoms
Mass density   8.11 g cm⁻³

Cell and atoms, written as POSCAR:
```
AcCePmIn
1.0
5.6633 0.0000 0.0000
2.8317 4.9046 0.0000
2.8317 1.6349 4.6241
Ac In Ce Pm
1 1 1 1
Direct
0.7500 0.7500 0.7500
0.2500 0.2500 0.2500
0.0000 0.0000 0.0000
0.5000 0.5000 0.5000
```

[13]
Entry from Alexandria via LeMat-Bulk: crystalline AcCePm2In4 at its relaxed geometry (GGA-PBE).

Properties
D(E_F)   1.32 states/eV/atom
E_form   -39.8 kJ per mole of atoms
Mass density   7.67 g cm⁻³

Cell and atoms, written as POSCAR:
```
AcCePm2In4
1.0
-4.5212 0.5394 3.1688
-3.6441 -4.1666 0.3657
1.8410 -4.5779 8.2616
Ac Ce Pm In
1 1 2 4
Direct
0.0000 0.0000 0.0000
0.5000 0.5000 0.5000
0.7499 0.7499 0.7503
0.2501 0.2501 0.2497
0.3778 0.3778 0.8667
0.8726 0.8726 0.3823
0.1274 0.1274 0.6177
0.6222 0.6222 0.1333
```

[14]
Entry from Alexandria via LeMat-Bulk: crystalline AcCeScIn at its relaxed geometry (GGA-PBE).

Properties
D(E_F)   2.41 states/eV/atom
E_form   -0.1 kJ per mole of atoms
Mass density   7.48 g cm⁻³

Cell and atoms, written as POSCAR:
```
AcCeScIn
1.0
-2.2292 -1.7305 -4.7095
-3.1270 -4.5123 -0.0621
-5.4162 0.4242 -0.7925
Sc Ac Ce In
1 1 1 1
Direct
0.0000 0.0000 0.0000
0.7500 0.7500 0.7500
0.5000 0.5000 0.5000
0.2500 0.2500 0.2500
```

[15]
Entry from Alexandria via LeMat-Bulk: crystalline AcCeSmIn at its relaxed geometry (GGA-PBE).

Properties
D(E_F)   2.62 states/eV/atom
E_form   -2.5 kJ per mole of atoms
Mass density   8.22 g cm⁻³

Cell and atoms, written as POSCAR:
```
AcCeSmIn
1.0
-1.3144 0.6886 5.4544
-2.9821 -3.9637 2.7108
2.4851 -3.2104 3.9332
Ac Ce Sm In
1 1 1 1
Direct
0.7500 0.7500 0.7500
0.0000 0.0000 0.0000
0.5000 0.5000 0.5000
0.2500 0.2500 0.2500
```

[16]
Entry from Alexandria via LeMat-Bulk: crystalline AcCeInSn at its relaxed geometry (GGA-PBE).

Properties
D(E_F)   2.15 states/eV/atom
E_form   -41.5 kJ per mole of atoms
Mass density   7.85 g cm⁻³

Cell and atoms, written as POSCAR:
```
AcCeInSn
1.0
-2.6813 -3.1842 3.8099
-2.4660 -4.8215 -1.5861
2.1972 -4.9488 1.5893
Ac Sn Ce In
1 1 1 1
Direct
0.5000 0.5000 0.5000
0.2500 0.2500 0.2500
0.0000 0.0000 0.0000
0.7500 0.7500 0.7500
```

[17]
Entry from Alexandria via LeMat-Bulk: crystalline AcTbCeIn at its relaxed geometry (GGA-PBE).

Properties
D(E_F)   2.53 states/eV/atom
E_form   -1.5 kJ per mole of atoms
Mass density   8.48 g cm⁻³

Cell and atoms, written as POSCAR:
```
AcTbCeIn
1.0
5.6205 0.0000 0.0000
2.8102 4.8675 0.0000
2.8102 1.6225 4.5891
Ac Tb Ce In
1 1 1 1
Direct
0.7500 0.7500 0.7500
0.5000 0.5000 0.5000
0.0000 0.0000 0.0000
0.2500 0.2500 0.2500
```

[18]
Entry from Alexandria via LeMat-Bulk: crystalline AcTb2CeIn4 at its relaxed geometry (GGA-PBE).

Properties
D(E_F)   1.23 states/eV/atom
E_form   -38.9 kJ per mole of atoms
Mass density   8.08 g cm⁻³

Cell and atoms, written as POSCAR:
```
AcTb2CeIn4
1.0
-5.0271 2.1165 0.6668
-4.3581 -3.3286 0.3516
-2.1092 -0.7956 9.2665
Ac Tb Ce In
1 2 1 4
Direct
0.0000 0.0000 0.0000
0.7501 0.7501 0.7498
0.2499 0.2499 0.2502
0.5000 0.5000 0.5000
0.3778 0.3778 0.8665
0.8726 0.8726 0.3822
0.1274 0.1274 0.6178
0.6222 0.6222 0.1335
```

[19]
Entry from Alexandria via LeMat-Bulk: crystalline AcCeThIn at its relaxed geometry (GGA-PBE).

Properties
D(E_F)   2.26 states/eV/atom
E_form   4.6 kJ per mole of atoms
Mass density   9.27 g cm⁻³

Cell and atoms, written as POSCAR:
```
AcCeThIn
1.0
-3.9152 3.2165 -2.5134
-3.6167 -2.3089 -3.6852
-5.4538 -0.5873 1.3798
Ac Ce Th In
1 1 1 1
Direct
0.2500 0.2500 0.2500
0.0000 0.0000 0.0000
0.7500 0.7500 0.7500
0.5000 0.5000 0.5000
```

[20]
Entry from Alexandria via LeMat-Bulk: crystalline AcCeTmIn at its relaxed geometry (GGA-PBE).

Properties
D(E_F)   2.41 states/eV/atom
E_form   0.5 kJ per mole of atoms
Mass density   8.75 g cm⁻³

Cell and atoms, written as POSCAR:
```
AcCeTmIn
1.0
5.5905 0.0000 0.0000
2.7952 4.8415 0.0000
2.7952 1.6138 4.5646
Ac Tm Ce In
1 1 1 1
Direct
0.2500 0.2500 0.2500
0.0000 0.0000 0.0000
0.5000 0.5000 0.5000
0.7500 0.7500 0.7500
```